{"formula": "K2HoCrF6", "functional": "GGA+U", "state": "relaxed", "density_g_cm3": 3.6, "dft_energy_ev_per_atom": -5.548, "lattice": [[-0.236, -6.506, -1.867], [4.741, -1.442, 4.424], [-5.900, -1.464, 5.844]], "species": ["Ho", "Ho", "F", "F", "F", "F", "F", "F", "F", "F", "F", "F", "F", "F", "K", "K", "K", "K", "Cr", "Cr"], "frac_coords": [[0.500, 0.294, 0.000], [0.000, 0.706, 0.500], [0.757, 0.920, 0.500], [0.000, 0.760, 0.246], [0.257, 0.080, 0.000], [0.000, 0.760, 0.754], [0.797, 0.456, 0.500], [0.243, 0.920, 0.500], [0.297, 0.544, 0.000], [0.703, 0.544, 0.000], [0.203, 0.456, 0.500], [0.500, 0.240, 0.254], [0.500, 0.240, 0.746], [0.743, 0.080, 0.000], [0.500, 0.807, 0.757], [0.500, 0.807, 0.243], [0.000, 0.193, 0.257], [0.000, 0.193, 0.743], [0.500, 0.258, 0.500], [0.000, 0.742, 0.000]]}